Entry P
# AcPm4Sm7 (PBE, optimized geometry)
# - Magnetic moment: 0.0 μB per formula unit
# - Crystal system: monoclinic
data_AcPm4Sm7
_space_group_name_H-M_alt 'C 1 2/m 1'
_space_group_IT_number 12
_cell_length_a 12.383
_cell_length_b 6.204
_cell_length_c 12.845
_cell_angle_alpha 90.00
_cell_angle_beta 118.71
_cell_angle_gamma 90.00
loop_
_space_group_symop_operation_xyz
'x,y,z'
'-x,-y,-z'
'-x,y,-z'
'x,-y,z'
'x+1/2,y+1/2,z'
'-x+1/2,-y+1/2,-z'
'-x+1/2,y+1/2,-z'
'x+1/2,-y+1/2,z'
loop_
_atom_site_label
_atom_site_type_symbol
_atom_site_fract_x
_atom_site_fract_y
_atom_site_fract_z
_atom_site_occupancy
Ac1 Ac 0.000 0.000 0.000 1
Pm1 Pm 0.070 0.500 0.321 1
Pm2 Pm 0.144 0.000 0.776 1
Sm1 Sm 0.000 0.500 0.000 1
Sm2 Sm 0.127 0.000 0.497 1
Sm3 Sm 0.204 0.500 0.919 1
Sm4 Sm 0.221 0.500 0.664 1

Entry Q
# AcPm4Sm7 (PBE, optimized geometry)
# - Magnetic moment: 0.0 μB per formula unit
# - Crystal system: triclinic
data_AcPm4Sm7
_space_group_name_H-M_alt 'P -1'
_space_group_IT_number 2
_cell_length_a 6.397
_cell_length_b 7.383
_cell_length_c 9.139
_cell_angle_alpha 90.02
_cell_angle_beta 103.62
_cell_angle_gamma 90.01
loop_
_space_group_symop_operation_xyz
'x,y,z'
'-x,-y,-z'
loop_
_atom_site_label
_atom_site_type_symbol
_atom_site_fract_x
_atom_site_fract_y
_atom_site_fract_z
_atom_site_occupancy
Ac1 Ac 0.000 0.000 0.000 1
Pm1 Pm 0.219 0.500 0.667 1
Pm2 Pm 0.281 0.747 0.335 1
Sm1 Sm 0.000 0.500 0.000 1
Sm2 Sm 0.223 0.000 0.664 1
Sm3 Sm 0.281 0.253 0.335 1
Sm4 Sm 0.500 0.253 0.000 1

Result of the stability comparison: entry Q is the most stable of them.

Entry P
# Ac6PmSm (PBE, optimized geometry)
# - Magnetic moment: 0.0 μB per formula unit
# - Crystal system: monoclinic
data_Ac6PmSm
_space_group_name_H-M_alt 'C 1 2/m 1'
_space_group_IT_number 12
_cell_length_a 17.424
_cell_length_b 6.415
_cell_length_c 6.560
_cell_angle_alpha 90.00
_cell_angle_beta 112.09
_cell_angle_gamma 90.00
loop_
_space_group_symop_operation_xyz
'x,y,z'
'-x,-y,-z'
'-x,y,-z'
'x,-y,z'
'x+1/2,y+1/2,z'
'-x+1/2,-y+1/2,-z'
'-x+1/2,y+1/2,-z'
'x+1/2,-y+1/2,z'
loop_
_atom_site_label
_atom_site_type_symbol
_atom_site_fract_x
_atom_site_fract_y
_atom_site_fract_z
_atom_site_occupancy
Ac1 Ac 0.121 0.000 0.083 1
Ac2 Ac 0.121 0.500 0.661 1
Ac3 Ac 0.250 0.000 0.700 1
Pm1 Pm 0.000 0.000 0.500 1
Sm1 Sm 0.000 0.500 0.000 1

Entry Q
# Ac6PmSm (PBE, optimized geometry)
# - Magnetic moment: 0.0 μB per formula unit
# - Crystal system: monoclinic
data_Ac6PmSm
_space_group_name_H-M_alt 'C 1 2/m 1'
_space_group_IT_number 12
_cell_length_a 9.851
_cell_length_b 7.797
_cell_length_c 10.157
_cell_angle_alpha 90.00
_cell_angle_beta 107.98
_cell_angle_gamma 90.00
loop_
_space_group_symop_operation_xyz
'x,y,z'
'-x,-y,-z'
'-x,y,-z'
'x,-y,z'
'x+1/2,y+1/2,z'
'-x+1/2,-y+1/2,-z'
'-x+1/2,y+1/2,-z'
'x+1/2,-y+1/2,z'
loop_
_atom_site_label
_atom_site_type_symbol
_atom_site_fract_x
_atom_site_fract_y
_atom_site_fract_z
_atom_site_occupancy
Ac1 Ac 0.140 0.000 0.431 1
Ac2 Ac 0.206 0.242 0.803 1
Pm1 Pm 0.000 0.000 0.000 1
Sm1 Sm 0.000 0.500 0.500 1

Result of the stability comparison: entry P is the most stable of them.